Entry from Alexandria via LeMat-Bulk: a relaxed structure of BaGaHgPb (PBE).

Values from the calculation:
- Calculated volume: 120.9 Å³/f.u.
- ΔE_f: -30.2 kJ/mol of atoms
- DFT total energy: -2.55 eV/atom
- DOS at the Fermi energy: 11.376 states/eV/cell

Unit cell a=7.8495 b=7.8495 c=7.8495 alpha=90.00 beta=90.00 gamma=90.00
Space group F-43m (No. 216)
One atom of each set of equivalent atoms:
Ba 0.0000 0.0000 0.0000
Ga 0.2500 0.2500 0.2500
Hg 0.2500 0.2500 0.7500
Pb 0.0000 0.0000 0.5000

=====

Entry from Alexandria via LeMat-Bulk: a relaxed structure of Ba2GaHg3Pb4 (PBE).

Values from the calculation:
- Calculated volume: 326.0 Å³/f.u.
- ΔE_f: -28.3 kJ/mol of atoms
- DFT total energy: -2.55 eV/atom
- DOS at the Fermi energy: 4.991 states/eV/cell

Unit cell a=5.1956 b=5.1956 c=12.0772 alpha=90.00 beta=90.00 gamma=90.00
Space group P-4m2 (No. 115)
One atom of each set of equivalent atoms:
Ba 0.0000 0.5000 0.2375
Ga 0.5000 0.5000 0.0000
Hg 0.0000 0.0000 0.0000
Hg 0.0000 0.5000 0.6371
Pb 0.0000 0.0000 0.5000
Pb 0.0000 0.5000 0.8780
Pb 0.5000 0.5000 0.5000

=====

Entry from Alexandria via LeMat-Bulk: a relaxed structure of Ba2GaHg6Pb (PBE).

Values from the calculation:
- Calculated volume: 308.7 Å³/f.u.
- ΔE_f: -27.0 kJ/mol of atoms
- DFT total energy: -1.52 eV/atom
- DOS at the Fermi energy: 5.019 states/eV/cell

Unit cell a=5.7333 b=7.4857 c=7.6264 alpha=84.91 beta=76.44 gamma=76.10
Space group P-1 (No. 2)
One atom of each set of equivalent atoms:
Ba 0.0198 0.2718 0.2728
Ga 0.5000 0.5000 0.0000
Hg 0.0329 0.2419 0.7729
Hg 0.3568 0.8950 0.9323
Hg 0.4719 0.6332 0.3351
Pb 0.5000 0.0000 0.5000

=====

Entry from Alexandria via LeMat-Bulk: a relaxed structure of Ba2Ga4Hg3Pb (PBE).

Values from the calculation:
- Calculated volume: 271.8 Å³/f.u.
- ΔE_f: -34.7 kJ/mol of atoms
- DFT total energy: -2.42 eV/atom
- DOS at the Fermi energy: 3.869 states/eV/cell

Unit cell a=4.8632 b=4.8632 c=11.4906 alpha=90.00 beta=90.00 gamma=90.00
Space group P-4m2 (No. 115)
One atom of each set of equivalent atoms:
Ba 0.0000 0.5000 0.2435
Ga 0.0000 0.0000 0.0000
Ga 0.0000 0.5000 0.6404
Ga 0.5000 0.5000 0.0000
Hg 0.0000 0.5000 0.8761
Hg 0.5000 0.5000 0.5000
Pb 0.0000 0.0000 0.5000

=====

Entry from Alexandria via LeMat-Bulk: a relaxed structure of Ba2GaHgPb6 (PBE).

Values from the calculation:
- Calculated volume: 370.8 Å³/f.u.
- ΔE_f: -14.2 kJ/mol of atoms
- DFT total energy: -3.09 eV/atom
- DOS at the Fermi energy: 25.626 states/eV/cell

Unit cell a=7.2666 b=7.2666 c=48.6492 alpha=90.00 beta=90.00 gamma=120.00
Space group R-3m (No. 166, hexagonal axes)
One atom of each set of equivalent atoms:
Ba 0.0000 0.0000 0.1157
Ba 0.0000 0.0000 0.3127
Ga 0.0000 0.0000 0.0000
Ga 0.0000 0.0000 0.5000
Hg 0.0000 0.0000 0.4240
Pb 0.0332 0.5166 0.7130
Pb 0.0432 0.5216 0.8674

=====

Entry from Alexandria via LeMat-Bulk: a relaxed structure of BaGaHg2Pd (PBE).

Values from the calculation:
- Calculated volume: 140.5 Å³/f.u.
- ΔE_f: -36.3 kJ/mol of atoms
- DFT total energy: -2.53 eV/atom
- DOS at the Fermi energy: 3.097 states/eV/cell

Unit cell a=5.3607 b=5.3607 c=4.8879 alpha=90.00 beta=90.00 gamma=90.00
Space group P4/mmm (No. 123)
One atom of each set of equivalent atoms:
Ba 0.0000 0.0000 0.0000
Ga 0.5000 0.5000 0.0000
Hg 0.0000 0.5000 0.5000
Pd 0.5000 0.5000 0.5000

=====

Entry from Alexandria via LeMat-Bulk: a relaxed structure of BaGa2HgPd (PBE).

Values from the calculation:
- Calculated volume: 130.8 Å³/f.u.
- ΔE_f: -36.5 kJ/mol of atoms
- DFT total energy: -3.07 eV/atom
- DOS at the Fermi energy: 2.802 states/eV/cell

Unit cell a=4.9385 b=4.9385 c=5.3616 alpha=90.00 beta=90.00 gamma=90.00
Space group P4/mmm (No. 123)
One atom of each set of equivalent atoms:
Ba 0.0000 0.0000 0.0000
Ga 0.0000 0.5000 0.5000
Hg 0.5000 0.5000 0.0000
Pd 0.5000 0.5000 0.5000

=====

Entry from Alexandria via LeMat-Bulk: a relaxed structure of BaGa2HgRh (PBE).

Values from the calculation:
- Calculated volume: 126.4 Å³/f.u.
- ΔE_f: -44.3 kJ/mol of atoms
- DFT total energy: -3.59 eV/atom
- DOS at the Fermi energy: 3.843 states/eV/cell

Unit cell a=4.8603 b=4.8603 c=5.3513 alpha=90.00 beta=90.00 gamma=90.00
Space group P4/mmm (No. 123)
One atom of each set of equivalent atoms:
Ba 0.0000 0.0000 0.0000
Ga 0.0000 0.5000 0.5000
Hg 0.5000 0.5000 0.0000
Rh 0.5000 0.5000 0.5000

=====

Entry from Alexandria via LeMat-Bulk: a relaxed structure of Ba2GaHgRh (PBE).

Values from the calculation:
- Calculated volume: 177.0 Å³/f.u.
- ΔE_f: -37.4 kJ/mol of atoms
- DFT total energy: -3.29 eV/atom
- DOS at the Fermi energy: 4.102 states/eV/cell

Unit cell a=6.0408 b=6.0408 c=4.8512 alpha=90.00 beta=90.00 gamma=90.00
Space group P4/mmm (No. 123)
One atom of each set of equivalent atoms:
Ba 0.0000 0.5000 0.0000
Ga 0.0000 0.0000 0.5000
Hg 0.5000 0.5000 0.5000
Rh 0.0000 0.0000 0.0000

=====

Entry from Alexandria via LeMat-Bulk: a relaxed structure of BaGa2HgRu (PBE).

Values from the calculation:
- Calculated volume: 127.0 Å³/f.u.
- ΔE_f: -36.0 kJ/mol of atoms
- DFT total energy: -3.88 eV/atom
- DOS at the Fermi energy: 1.627 states/eV/cell

Unit cell a=4.8635 b=4.8635 c=5.3709 alpha=90.00 beta=90.00 gamma=90.00
Space group P4/mmm (No. 123)
One atom of each set of equivalent atoms:
Ba 0.0000 0.0000 0.0000
Ga 0.0000 0.5000 0.5000
Hg 0.5000 0.5000 0.0000
Ru 0.5000 0.5000 0.5000

=====

Entry from Alexandria via LeMat-Bulk: a relaxed structure of Ba2GaHg6Sb (PBE).

Values from the calculation:
- Raw formation energy: -27.8 kJ/mol of atoms
- Calculated volume: 317.4 Å³/f.u.
- DFT total energy: -1.57 eV/atom
- DOS at the Fermi energy: 8.016 states/eV/cell

Unit cell a=6.0802 b=9.9592 c=10.4817 alpha=90.00 beta=90.00 gamma=90.00
Space group Pmmn (No. 59, origin choice 2)
One atom of each set of equivalent atoms:
Ba 0.2500 0.0175 0.2367
Ga 0.2500 0.2500 0.7482
Hg 0.0003 0.2500 0.9629
Hg 0.0043 0.7500 0.5061
Hg 0.2500 0.0042 0.6039
Sb 0.2500 0.7500 0.7958

=====

Entry from Alexandria via LeMat-Bulk: a relaxed structure of BaGaHgSb (PBE).

Values from the calculation:
- Raw formation energy: -35.0 kJ/mol of atoms
- Calculated volume: 129.9 Å³/f.u.
- DFT total energy: -2.71 eV/atom
- DOS at the Fermi energy: 8.253 states/eV/cell

Unit cell a=8.0393 b=8.0393 c=8.0393 alpha=90.00 beta=90.00 gamma=90.00
Space group F-43m (No. 216)
One atom of each set of equivalent atoms:
Ba 0.0000 0.0000 0.0000
Ga 0.0000 0.0000 0.5000
Hg 0.2500 0.2500 0.2500
Sb 0.2500 0.2500 0.7500